(1)
Density functional theory data (PBE) for crystalline Zn6GeAu12 at its relaxed geometry.

Cell: 7.652 7.652 7.652 Å, 110.91 110.91 110.91°
Positions (direct):
Zn (0.052, 0.356, 0.579)
Zn (0.356, 0.579, 0.052)
Zn (0.421, 0.948, 0.644)
Zn (0.579, 0.052, 0.356)
Zn (0.644, 0.421, 0.948)
Zn (0.948, 0.644, 0.421)
Ge (0.000, 0.000, 0.000)
Au (0.118, 0.735, 0.166)
Au (0.166, 0.118, 0.735)
Au (0.200, 0.476, 0.341)
Au (0.265, 0.834, 0.882)
Au (0.341, 0.200, 0.476)
Au (0.476, 0.341, 0.200)
Au (0.524, 0.659, 0.800)
Au (0.659, 0.800, 0.524)
Au (0.735, 0.166, 0.118)
Au (0.800, 0.524, 0.659)
Au (0.834, 0.882, 0.265)
Au (0.882, 0.265, 0.834)

- symmetry = No. 148
- ΔE_f (eV per atom) = -0.117

---

(2)
Density functional theory data (PBE) for crystalline ZnGe2Au8 at its relaxed geometry.

Cell: 8.540 8.540 6.537 Å, 91.88 91.88 26.53°
Positions (direct):
Zn (0.000, 0.000, 0.000)
Ge (0.220, 0.220, 0.820)
Ge (0.780, 0.780, 0.180)
Au (0.071, 0.071, 0.636)
Au (0.161, 0.161, 0.186)
Au (0.315, 0.315, 0.459)
Au (0.458, 0.458, 0.740)
Au (0.542, 0.542, 0.260)
Au (0.685, 0.685, 0.541)
Au (0.839, 0.839, 0.814)
Au (0.929, 0.929, 0.364)

- symmetry = No. 12
- ΔE_f (eV per atom) = 0.007

---

(3)
Density functional theory data (PBE) for crystalline ZrGeAu2 at its relaxed geometry.

Cell: 10.797 10.797 10.797 Å, 159.10 159.10 29.72°
Positions (direct):
Zr (0.000, 0.000, 0.000)
Zr (0.750, 0.250, 0.500)
Ge (0.250, 0.750, 0.500)
Ge (0.500, 0.500, 0.000)
Au (0.129, 0.625, 0.004)
Au (0.375, 0.379, 0.504)
Au (0.621, 0.125, 0.996)
Au (0.875, 0.871, 0.496)

- symmetry = No. 122
- ΔE_f (eV per atom) = -0.262